[1]
Material: Hf2Mn2ZnCo5
Method: DFT, PBE
State: optimized geometry

POSCAR file:
```
Hf2Mn2ZnCo5
1.0
8.659 0.000 0.000
0.000 8.659 0.000
0.000 0.000 3.599
Hf Mn Zn Co
4 4 2 10
Cartesian
1.545 2.784 0.000
2.784 7.114 0.000
5.875 1.545 0.000
7.114 5.875 0.000
1.030 5.360 0.000
3.300 1.030 0.000
5.360 7.629 0.000
7.629 3.300 0.000
0.000 0.000 0.000
4.330 4.330 0.000
0.000 4.330 1.800
0.535 6.873 1.800
1.786 0.535 1.800
2.544 4.865 1.800
3.794 2.544 1.800
4.330 0.000 1.800
4.865 6.116 1.800
6.116 3.794 1.800
6.873 8.124 1.800
8.124 1.786 1.800
```

The calculation puts the size of the total moment at 16.61 Bohr magnetons per cell. The calculation puts the electronic total energy at -7.562 eV per atom.



[2]
Material: HfMnZnCo2
Method: DFT, PBE
State: optimized geometry

POSCAR file:
```
HfMnZnCo2
1.0
4.503 0.000 0.000
0.000 4.503 0.000
0.000 0.000 4.751
Hf Mn Zn Co
1 1 1 2
Cartesian
0.000 0.000 0.000
0.000 0.000 2.375
2.252 2.252 2.375
0.000 2.252 0.000
2.252 0.000 0.000
```

The calculation puts the size of the total moment at 4.25 Bohr magnetons per cell. The calculation puts the electronic total energy at -5.564 eV per atom.



[3]
Material: Hf6CoMo
Method: DFT, PBE
State: optimized geometry

POSCAR file:
```
Hf6CoMo
1.0
3.009 -5.148 0.000
3.009 5.148 0.000
-2.648 0.000 5.412
Hf Co Mo
6 1 1
Cartesian
0.700 2.053 1.344
-0.600 0.000 4.141
0.700 -2.053 1.344
2.670 2.053 4.068
3.970 0.000 1.271
2.670 -2.053 4.068
0.000 0.000 0.000
1.685 0.000 2.706
```

The calculation puts the size of the total moment at 0.00 Bohr magnetons per cell. The calculation puts the electronic total energy at -9.477 eV per atom.



[4]
Material: HfCoMo3
Method: DFT, PBE
State: optimized geometry

POSCAR file:
```
HfCoMo3
1.0
4.721 0.000 0.000
0.000 4.721 0.000
0.000 0.000 4.721
Hf Co Mo
1 1 3
Cartesian
0.000 0.000 0.000
2.361 2.361 2.361
0.000 0.000 2.361
0.000 2.361 0.000
2.361 0.000 0.000
```

The calculation puts the energy above the lowest structure with this stoichiometry at 7.633 eV/f.u. The calculation puts the size of the total moment at 0.00 Bohr magnetons per cell. The calculation puts the electronic total energy at -7.513 eV per atom.



[5]
Material: HfCoMo3
Method: DFT, PBE
State: optimized geometry

POSCAR file:
```
HfCoMo3
1.0
4.494 0.000 0.000
0.000 4.494 0.000
0.000 0.000 4.494
Hf Co Mo
1 1 3
Cartesian
0.000 0.000 0.000
2.247 2.247 2.247
0.000 2.247 2.247
2.247 0.000 2.247
2.247 2.247 0.000
```

The calculation puts the energy above the lowest structure with this stoichiometry at 0.000 eV/f.u. The calculation puts the size of the total moment at 0.00 Bohr magnetons per cell. The calculation puts the electronic total energy at -9.039 eV per atom.



[6]
Material: Hf3CoMo
Method: DFT, PBE
State: optimized geometry

POSCAR file:
```
Hf3CoMo
1.0
4.698 0.000 0.000
0.000 4.698 0.000
0.000 0.000 4.698
Hf Co Mo
3 1 1
Cartesian
0.000 0.000 2.349
0.000 2.349 0.000
2.349 0.000 0.000
0.000 0.000 0.000
2.349 2.349 2.349
```

The calculation puts the energy above the lowest structure with this stoichiometry at 0.000 eV/f.u. The calculation puts the size of the total moment at 0.56 Bohr magnetons per cell. The calculation puts the electronic total energy at -9.054 eV per atom.



[7]
Material: HfCo2Mo2
Method: DFT, PBE
State: optimized geometry

POSCAR file:
```
HfCo2Mo2
1.0
7.213 0.000 0.000
0.000 7.213 0.000
0.000 0.000 2.822
Hf Co Mo
2 4 4
Cartesian
0.000 0.000 0.000
3.606 3.606 0.000
0.884 2.722 0.000
2.722 6.329 0.000
4.490 0.884 0.000
6.329 4.490 0.000
1.243 4.849 1.411
2.364 1.243 1.411
4.849 5.970 1.411
5.970 2.364 1.411
```

The calculation puts the energy above the lowest structure with this stoichiometry at 0.028 eV/f.u. The calculation puts the size of the total moment at 0.00 Bohr magnetons per cell. The calculation puts the electronic total energy at -9.103 eV per atom.



[8]
Material: Hf2Co2Mo
Method: DFT, PBE
State: optimized geometry

POSCAR file:
```
Hf2Co2Mo
1.0
6.335 0.000 0.000
0.000 6.335 0.000
0.000 0.000 4.009
Hf Co Mo
4 4 2
Cartesian
1.120 2.047 0.000
2.047 5.215 0.000
4.288 1.120 0.000
5.215 4.288 0.000
0.832 3.999 2.005
2.336 0.832 2.005
3.999 5.503 2.005
5.503 2.336 2.005
0.000 0.000 2.005
3.168 3.168 2.005
```

The calculation puts the size of the total moment at 0.00 Bohr magnetons per cell. The calculation puts the electronic total energy at -9.174 eV per atom.



[9]
Material: Hf3CoMo
Method: DFT, PBE
State: optimized geometry

POSCAR file:
```
Hf3CoMo
1.0
4.937 0.000 0.000
0.000 4.937 0.000
0.000 0.000 4.937
Hf Co Mo
3 1 1
Cartesian
0.000 0.000 2.468
0.000 2.468 0.000
2.468 0.000 0.000
2.468 2.468 2.468
0.000 0.000 0.000
```

The calculation puts the energy above the lowest structure with this stoichiometry at 3.590 eV/f.u. The calculation puts the size of the total moment at 0.00 Bohr magnetons per cell. The calculation puts the electronic total energy at -8.336 eV per atom.



[10]
Material: Hf6Co5Mo
Method: DFT, PBE
State: optimized geometry

POSCAR file:
```
Hf6Co5Mo
1.0
2.247 -6.731 0.000
2.247 6.731 0.000
0.000 0.000 6.358
Hf Co Mo
6 5 1
Cartesian
0.000 0.000 1.557
0.000 0.000 4.802
2.247 2.267 1.570
2.247 2.267 4.788
2.247 -2.267 1.570
2.247 -2.267 4.788
2.247 4.485 0.000
2.247 4.459 3.179
2.247 0.000 0.000
2.247 -4.459 3.179
2.247 -4.485 0.000
2.247 0.000 3.179
```

The calculation puts the size of the total moment at 0.04 Bohr magnetons per cell. The calculation puts the electronic total energy at -9.190 eV per atom.



[11]
Material: HfCo2Mo2
Method: DFT, PBE
State: optimized geometry

POSCAR file:
```
HfCo2Mo2
1.0
-1.904 1.904 5.344
1.904 -1.904 5.344
1.904 1.904 -5.344
Hf Co Mo
1 2 2
Cartesian
0.000 0.000 0.000
0.000 0.000 4.274
0.000 0.000 6.414
1.904 0.000 2.672
0.000 1.904 2.672
```

The calculation puts the energy above the lowest structure with this stoichiometry at 0.000 eV/f.u. The calculation puts the size of the total moment at 0.00 Bohr magnetons per cell. The calculation puts the electronic total energy at -9.109 eV per atom.



[12]
Material: HfCoMo2
Method: DFT, PBE
State: optimized geometry

POSCAR file:
```
HfCoMo2
1.0
0.000 3.147 3.147
3.147 0.000 3.147
3.147 3.147 0.000
Hf Co Mo
1 1 2
Cartesian
0.000 0.000 0.000
3.147 3.147 3.147
1.573 1.573 1.573
4.720 4.720 4.720
```

The calculation puts the energy above the lowest structure with this stoichiometry at 0.000 eV/f.u. The calculation puts the size of the total moment at 0.00 Bohr magnetons per cell. The calculation puts the electronic total energy at -9.407 eV per atom.



The energy of formation results, record by record, are as follows: -57, 1358, 230, 2398, 871, 506, 63, -184, 1224, -349, 57, 273 meV per atom.